# 1
Material: MnCu2Cl
Method: DFT, PBE
State: optimized geometry

abc: 5.101 3.531 3.531
angles: 90.00 90.00 90.00
Site moments in Bohr magnetons follow the coordinates.
Sites, in units of the cell vectors:
Cl 0.500 0.000 0.500  0.07
Cu 0.000 0.000 0.000  0.03
Cu 0.000 0.500 0.500  0.03
Mn 0.500 0.500 0.000  4.06

Properties
The uncorrected formation energy comes out at 0.33 eV/atom. As for the polymorph energy (0 for the lowest one): 0.319 eV/atom. As for the space group: P4/mmm. As for the total energy: -4.47 eV per atom. As for the density of states at the Fermi level: 2.09 states/eV per cell.

# 2
Material: PrNd2Al
Method: DFT, PBE
State: optimized geometry

abc: 3.728 3.728 10.969
angles: 80.23 80.23 60.04
Sites, in units of the cell vectors:
Pr 0.500 0.500 0.500
Nd 0.071 0.071 0.787
Nd 0.263 0.263 0.212
Al 0.666 0.666 0.001

Properties
As for the polymorph energy (0 for the lowest one): 0.132 eV/atom. As for the space group: R3m. As for the total energy: -4.55 eV per atom. As for the density of states at the Fermi level: 4.70 states/eV per cell.

# 3
Material: La4Ta5
Method: DFT, PBE
State: optimized geometry

abc: 8.081 8.081 8.081
angles: 92.87 92.87 154.13
Sites, in units of the cell vectors:
La 0.000 0.313 0.313
La 0.000 0.687 0.687
La 0.313 0.000 0.313
La 0.687 0.000 0.687
Ta 0.000 0.000 0.000
Ta 0.360 0.360 0.720
Ta 0.360 0.640 0.000
Ta 0.640 0.360 0.000
Ta 0.640 0.640 0.280

Properties
As for the space group: I4/mmm. As for the total energy: -8.21 eV per atom. As for the density of states at the Fermi level: 14.03 states/eV per cell.

# 4
Material: BeCdPt3
Method: DFT, PBE
State: optimized geometry

abc: 2.829 7.448 8.065
angles: 70.98 80.01 90.04
Sites, in units of the cell vectors:
Be 0.771 0.934 0.437
Be 0.322 0.591 0.339
Pt 0.909 0.476 0.162
Pt 0.711 0.375 0.561
Pt 0.185 0.049 0.613
Pt 0.383 0.150 0.215
Pt 0.904 0.845 0.176
Pt 0.190 0.680 0.600
Cd 0.547 0.762 0.888
Cd 0.048 0.262 0.888

Properties
As for the polymorph energy (0 for the lowest one): 0.034 eV/atom. As for the space group: P-1. As for the total energy: -4.96 eV per atom. As for the density of states at the Fermi level: 4.57 states/eV per cell.